{
  "formula": "BaLaZn2Si2",
  "functional": "GGA-PBE",
  "state": "relaxed",
  "lattice_angstrom": [[-0.752, -2.171, 3.627], [2.754, -1.558, -2.902], [6.905, 4.510, 4.131]],
  "species": ["Zn", "Zn", "Si", "Si", "Ba", "La"],
  "fractional_positions": [[0.667, 0.333, 0.230], [0.333, 0.667, 0.770], [0.667, 0.333, 0.774], [0.333, 0.667, 0.226], [0.000, 0.000, 0.500], [0.000, 0.000, 0.000]],
  "energy_ev_per_atom": -3.882
}